Here is ZnCrIr2 after structural relaxation from the Alexandria database. Energies are from GGA-PBE.

Cell lengths 5.090, 5.090, 5.090 Å; angles 146.24, 130.17, 61.55 degrees
Each line ends with the local moment (μB).
Fractional positions:
Cr 0.252 0.752 0.500  1.87
Ir 0.013 0.013 0.000  -0.28
Ir 0.740 0.240 0.500  -0.11
Zn 0.495 0.495 0.000  -0.01

Computed properties:
Density: 15.03 g cm⁻³
Crystal system: orthorhombic
Density of states at the Fermi level: 3.8 states/eV/f.u.
Energy of formation: 23 meV/atom

---

Here is ZnCrIr2 after structural relaxation from the Alexandria database. Energies are from GGA-PBE.

Cell lengths 4.721, 4.721, 4.536 Å; angles 78.74, 78.74, 34.14 degrees
Each line ends with the local moment (μB).
Fractional positions:
Cr 0.257 0.257 0.220  1.48
Ir 0.000 0.000 0.035  -0.14
Ir 0.746 0.746 0.721  -0.07
Zn 0.497 0.497 0.523  -0.01

Computed properties:
Density: 15.00 g cm⁻³
Crystal system: monoclinic
Density of states at the Fermi level: 4.3 states/eV/f.u.
Energy of formation: -63 meV/atom

---

Here is ZnCr2Ir after structural relaxation from the Alexandria database. Energies are from GGA-PBE.

Cell lengths 5.852, 4.627, 2.778 Å; angles 90.01, 61.63, 119.32 degrees
Each line ends with the local moment (μB).
Fractional positions:
Cr 0.000 0.000 0.000  -2.43
Cr 0.500 0.000 0.500  2.46
Ir 0.000 0.500 0.500  0.01
Zn 0.500 0.500 0.000  0.00

Computed properties:
Density: 10.92 g cm⁻³
Crystal system: orthorhombic
Density of states at the Fermi level: 3.0 states/eV/f.u.
Energy of formation: 36 meV/atom

---

Here is ZnCrIr2 after structural relaxation from the Alexandria database. Energies are from GGA-PBE.

Cell lengths 8.669, 8.669, 8.669 Å; angles 18.18, 18.18, 18.18 degrees
Fractional positions:
Cr 0.750 0.750 0.750
Zn 0.250 0.250 0.250
Ir 0.004 0.004 0.004
Ir 0.496 0.496 0.496

Computed properties:
Density: 15.05 g cm⁻³
Crystal system: trigonal
Density of states at the Fermi level: 4.6 states/eV/f.u.
Energy of formation: -139 meV/atom

---

Here is ZnCrIr2 after structural relaxation from the Alexandria database. Energies are from GGA-PBE.

Cell lengths 4.527, 4.527, 2.796 Å; angles 90.00, 90.00, 103.31 degrees
Each line ends with the local moment (μB).
Fractional positions:
Cr 0.000 0.500 0.500  2.08
Ir 0.000 0.000 0.000  -0.04
Ir 0.500 0.500 0.000  -0.04
Zn 0.500 0.000 0.500  0.00

Computed properties:
Density: 14.94 g cm⁻³
Crystal system: orthorhombic
Density of states at the Fermi level: 4.1 states/eV/f.u.
Energy of formation: -66 meV/atom

---

Here is ZnCrIr2 after structural relaxation from the Alexandria database. Energies are from GGA-PBE.

Cell lengths 4.791, 4.791, 4.791 Å; angles 134.14, 134.14, 66.87 degrees
Each line ends with the local moment (μB).
Fractional positions:
Cr 0.750 0.250 0.500  2.22
Ir 0.000 0.000 0.000  -0.20
Ir 0.250 0.750 0.500  -0.14
Zn 0.500 0.500 0.000  -0.01

Computed properties:
Density: 14.96 g cm⁻³
Crystal system: tetragonal
Density of states at the Fermi level: 3.4 states/eV/f.u.
Energy of formation: -74 meV/atom

---

Here is ZnCrIr after structural relaxation from the Alexandria database. Energies are from GGA-PBE.

Cell lengths 4.086, 4.086, 4.086 Å; angles 60.00, 60.00, 60.00 degrees
Each line ends with the local moment (μB).
Fractional positions:
Cr 0.500 0.500 0.500  0.56
Ir 0.750 0.750 0.750  0.01
Zn 0.000 0.000 0.000  0.00

Computed properties:
Energy above the lowest structure with this stoichiometry: 347.7 meV/atom
Density: 10.66 g cm⁻³
Crystal system: cubic
Density of states at the Fermi level: 4.1 states/eV/f.u.
Energy of formation: 270 meV/atom

---

Here is ZnCrIr2 after structural relaxation from the Alexandria database. Energies are from GGA-PBE.

Cell lengths 4.366, 2.733, 4.813 Å; angles 87.55, 90.00, 90.00 degrees
Each line ends with the local moment (μB).
Fractional positions:
Cr 0.500 0.750 0.750  2.54
Ir 0.000 0.008 0.000  0.02
Ir 0.000 0.492 0.500  0.02
Zn 0.500 0.250 0.250  0.00

Computed properties:
Density: 14.52 g cm⁻³
Crystal system: monoclinic
Density of states at the Fermi level: 5.6 states/eV/f.u.
Energy of formation: 91 meV/atom

---

> Among the records above, which one has the highest density?

number 4